# GaCoBiO2 | Alexandria | GGA+U | optimized geometry
data_GaCoBiO2
_cell_length_a 3.924
_cell_length_b 3.924
_cell_length_c 4.874
_cell_angle_alpha 90.00
_cell_angle_beta 90.00
_cell_angle_gamma 90.00
_space_group_name_H-M_alt 'P 4/m m m'
_space_group_IT_number 123
_space_group_name_Hall '-P 4 2'
loop_
_atom_site_label
_atom_site_fract_x
_atom_site_fract_y
_atom_site_fract_z
_atom_site_occupancy
Ga1 0.000 0.000 0.000 1
Co1 0.000 0.000 0.500 1
Bi1 0.500 0.500 0.000 1
O1 0.000 0.500 0.500 1
# Calculated density (g/cm3): 8.2
# Fermi-level density of states (states/eV per cell): 2.13
# Energy (hartree per atom): -0.165